Computed, not measured: a relaxed Er2Be4Co5 crystal at the PBE-GGA level of DFT.

Cell: 5.2366 5.0103 6.7229 Å, 78.26 67.08 58.49°
With the nearest neighbours (Å) after each atom.
Fractional positions:
Be  0.5246  0.6872  0.2636  5 Co 2.11-2.24
Co  0.2500  0.5000  0.5000  4 Be 2.12
Co  0.7500  0.5000  0.5000  4 Be 2.12
Be  0.2118  0.3128  0.2636  5 Co 2.11-2.24
Er  0.1370  0.0000  0.7260  10 Co 2.87-3.12, 8 Be 2.94-3.16
Be  0.4754  0.3128  0.7364  5 Co 2.11-2.24
Be  0.7882  0.6872  0.7364  5 Co 2.11-2.24
Co  0.0000  0.5000  0.0000  4 Be 2.24, 2 Co 2.51
Co  0.5000  0.0000  0.0000  4 Be 2.11
Er  0.8630  0.0000  0.2740  10 Co 2.87-3.12, 8 Be 2.94-3.16
Co  0.5000  0.5000  0.0000  4 Be 2.24, 2 Co 2.51

Output
E: -62.0 eV per cell
Magnetic moment: 0.165 μB/atom
D(E_F): 9.62 states/eV/cell
Space group: Fmmm, No. 69
Calculated density: 7.98 g/cm3